Entry from the Alexandria database: a geometry-optimized In3HgIr structure (PBE).

a b c (Å): 6.2954 6.4128 7.2518
angles (deg): 116.22 94.34 91.73
With the nearest neighbours (Å) after each atom.
Space group P1 (No. 1)
Unique sites:
In: 0.0000 0.0000 0.0000 (multiplicity 1)  2 Ir 2.66
In: 0.0003 0.4986 0.5011 (multiplicity 1)  2 Ir 2.64
In: 0.4993 0.0007 0.5005 (multiplicity 1)  2 Ir 2.63
In: 0.4987 0.2667 0.0009 (multiplicity 1)  2 Ir 2.76-2.77, 1 In 2.99
In: 0.5004 0.5002 0.4993 (multiplicity 1)  2 Ir 2.63
In: 0.5014 0.7320 0.9990 (multiplicity 1)  2 Ir 2.76, 1 In 2.99
Hg: 0.0006 0.4995 0.0000 (multiplicity 1)  6 In 3.20-3.52
Hg: 0.9993 0.9976 0.4990 (multiplicity 1)  2 Ir 2.75-2.76
Ir: 0.2816 0.8525 0.7206 (multiplicity 1)  6 In 2.63-2.77, 1 Hg 2.76
Ir: 0.7184 0.1461 0.2793 (multiplicity 1)  6 In 2.63-2.76, 1 Hg 2.75

Summary:
Total magnetic moment ... 0.00 μB per atom
E above lowest polymorph ... 71 meV/atom
ΔH_f (0 K) ... -65 meV per atom
Volume ... 26.12 Å³ per atom